The following is a DFT calculation (PBE-GGA) of LiTbDyRu after structural relaxation.

As for the formation energy: -0.274 eV/atom. The electronic total energy is -86.07 eV for the cell shown. The density is 8.48 Mg/m³.

It has space group F-43m (No. 216), with a = 6.9544 Å, b = 6.9544 Å, c = 6.9544 Å, α = 90.00°, β = 90.00° and γ = 90.00°. The inequivalent atoms are Li at (0.0000, 0.0000, 0.0000), Tb at (0.2500, 0.2500, 0.2500), Dy at (0.2500, 0.2500, 0.7500) and Ru at (0.0000, 0.0000, 0.5000).